A geometry-optimized La6TcAg structure. Source: Alexandria via LeMat-Bulk, functional PBE.

crystal system	monoclinic
V	37.27	Å³ per atom
total energy	-0.191	Ha/atom
DFT formation energy	1.15	eV/f.u.

a b c (Å): 8.7805 8.7805 10.5246
angles (deg): 120.97 120.97 73.58
Positions (direct):
La 0.0013 0.3457 0.6639
La 0.1504 0.7955 0.7920
La 0.2045 0.8496 0.2080
La 0.2347 0.2347 0.1514
La 0.3457 0.0013 0.6639
La 0.3973 0.3973 0.5981
La 0.6027 0.6027 0.4019
La 0.6543 0.9987 0.3361
La 0.7653 0.7653 0.8486
La 0.7955 0.1504 0.7920
La 0.8496 0.2045 0.2080
La 0.9987 0.6543 0.3361
Tc 0.0000 0.5000 0.5000
Tc 0.5000 0.0000 0.5000
Ag 0.0000 0.5000 0.0000
Ag 0.5000 0.0000 0.0000